Here is a relaxed structure of LiSc2Ag from the Alexandria database. Energies are from PBE.

Output
D(E_F): 8.4 states/eV per cell
DFT formation energy: 0.10 eV per atom
total moment: 0.00 μB per atom

a = 5.6531 Å, b = 3.1061 Å, c = 10.1373 Å
α = 90.00°, β = 101.84°, γ = 90.00°
Space group Cm (No. 8)
Unique sites:
1 Li 0.0000 0.0000 0.0000 [2 per cell]
2 Sc 0.0866 0.5000 0.7375 [2 per cell]
3 Sc 0.2784 0.5000 0.2630 [2 per cell]
4 Ag 0.1816 0.0000 0.5004 [2 per cell]